# KYSn4, relaxed, DFT GGA-PBE
# Uncorrected energy: -24.958 eV/cell
# Crystal system: cubic
# Energy of formation from the pure elements: -0.231 eV/atom
# SG: F-43m, No. 216
data_KYSn4
_space_group_name_H-M_alt 'P 1'
_space_group_IT_number 1
_space_group_name_Hall 'P 1'
_cell_length_a 6.288
_cell_length_b 6.288
_cell_length_c 6.288
_cell_angle_alpha 60.00
_cell_angle_beta 60.00
_cell_angle_gamma 60.00
loop_
_atom_site_label
_atom_site_type_symbol
_atom_site_fract_x
_atom_site_fract_y
_atom_site_fract_z
K1 K 0.000 0.000 0.000
Y1 Y 0.750 0.750 0.750
Sn1 Sn 0.376 0.376 0.376
Sn2 Sn 0.376 0.376 0.872
Sn3 Sn 0.376 0.872 0.376
Sn4 Sn 0.872 0.376 0.376